Record 1
Computed, not measured: a geometry-optimized Gd2MgSi2 structure at the PBE level of DFT.

Geometry as POSCAR:
```
Gd2MgSi2
1.0
7.2276 0.0000 0.0000
0.0000 7.2276 0.0000
0.0000 0.0000 4.2502
Gd Mg Si
4 2 4
direct
0.6787 0.1787 0.0000
0.1787 0.3213 0.0000
0.8213 0.6787 0.0000
0.3213 0.8213 0.0000
0.0000 0.0000 0.5000
0.5000 0.5000 0.5000
0.3825 0.1175 0.5000
0.8825 0.3825 0.5000
0.1175 0.6175 0.5000
0.6175 0.8825 0.5000
```

Values from the calculation:
Spin magnetization: 0.00 μB per cell

***

Record 2
Computed, not measured: a geometry-optimized GdMg2Si2 structure at the PBE level of DFT.

Geometry as POSCAR:
```
GdMg2Si2
1.0
-4.2283 3.6927 4.7633
-3.5602 -6.2252 1.6657
2.6220 -0.7261 2.8904
Gd Mg Si
2 4 4
direct
0.0000 0.0000 0.0000
0.5000 0.5000 0.0000
0.3289 0.1711 0.5000
0.8289 0.3289 0.5000
0.1711 0.6711 0.5000
0.6711 0.8289 0.5000
0.6150 0.1150 0.0000
0.1150 0.3850 0.0000
0.8850 0.6150 0.0000
0.3850 0.8850 0.0000
```

Values from the calculation:
Spin magnetization: 0.01 μB per cell

***

Summary of DFT total energy in eV/atom
-5.06 -3.87
(order as listed above)